(1)
Computed, not measured: an optimized crystal structure of LuTaRe2 at the GGA-PBE level of DFT.

## Properties
total magnetic moment: 0.00 Bohr magnetons per cell
VASP energy: -10.174 eV/atom
energy of formation from the pure elements: 132 meV/atom

Unit cell a=4.594 b=4.594 c=4.594 alpha=60.00 beta=60.00 gamma=60.00
Element x y z (fractional)
Re 0.250 0.250 0.250
Re 0.000 0.000 0.000
Ta 0.750 0.750 0.750
Lu 0.500 0.500 0.500

---

(2)
Computed, not measured: an optimized crystal structure of ReTcBi2 at the GGA-PBE level of DFT.

## Properties
total magnetic moment: 0.84 Bohr magnetons per cell
VASP energy: -6.519 eV/atom

Unit cell a=4.882 b=4.882 c=4.882 alpha=60.00 beta=60.00 gamma=60.00
Each line ends with the local moment (μB).
Element x y z (fractional)
Bi 0.250 0.250 0.250  0.01
Re 0.750 0.750 0.750  0.23
Tc 0.000 0.000 0.000  0.50
Bi 0.500 0.500 0.500  0.01

---

(3)
Computed, not measured: an optimized crystal structure of Sc2SnPt at the GGA-PBE level of DFT.

## Properties
total magnetic moment: 2.00 Bohr magnetons per cell
VASP energy: -6.230 eV/atom

Unit cell a=4.796 b=4.796 c=4.796 alpha=60.00 beta=60.00 gamma=60.00
Each line ends with the local moment (μB).
Element x y z (fractional)
Sc 0.750 0.750 0.750  0.85
Pt 0.250 0.250 0.250  0.07
Sn 0.500 0.500 0.500  0.03
Sc 0.000 0.000 0.000  0.56

---

(4)
Computed, not measured: an optimized crystal structure of CdGe2Sb at the GGA-PBE level of DFT.

## Properties
VASP energy: -3.279 eV/atom

Unit cell a=5.041 b=5.041 c=5.041 alpha=60.00 beta=60.00 gamma=60.00
Element x y z (fractional)
Cd 0.500 0.500 0.500
Sb 0.750 0.750 0.750
Ge 0.000 0.000 0.000
Ge 0.250 0.250 0.250

---

What did the first record say?
Computed, not measured: an optimized crystal structure of LuTaRe2 at the GGA-PBE level of DFT.

## Properties
total magnetic moment: 0.00 Bohr magnetons per cell
VASP energy: -10.174 eV/atom
energy of formation from the pure elements: 132 meV/atom

Unit cell a=4.594 b=4.594 c=4.594 alpha=60.00 beta=60.00 gamma=60.00
Element x y z (fractional)
Re 0.250 0.250 0.250
Re 0.000 0.000 0.000
Ta 0.750 0.750 0.750
Lu 0.500 0.500 0.500

---

- Which value of VASP energy does entry 2 give?
  -6.519 eV/atom

---

- Number 1 is which compound?
  LuTaRe2